# Ta2SiN

A geometry-optimized Ta2SiN structure (GGA-PBE, Alexandria).

Spin magnetization, μB/f.u.: 0.0
Offset from the most stable computed form, kJ/mol of formula units: 0
Formation energy from raw total energies, meV per atom: -445

CIF file:
```
data_Ta2SiN
_space_group_name_H-M_alt 'R -3 m'
_space_group_IT_number 166
_space_group_name_Hall '-R 3 2"'
_cell_length_a 3.1980
_cell_length_b 3.1980
_cell_length_c 18.9374
_cell_angle_alpha 90.00
_cell_angle_beta 90.00
_cell_angle_gamma 120.00
loop_
_atom_site_label
_atom_site_type_symbol
_atom_site_fract_x
_atom_site_fract_y
_atom_site_fract_z
_atom_site_occupancy
Ta1 Ta 0.0000 0.0000 0.2268 1
Si1 Si 0.0000 0.0000 0.0000 1
N1 N 0.0000 0.0000 0.5000 1
```

=====

# NaPr2Hg3

A geometry-optimized NaPr2Hg3 structure (GGA-PBE, Alexandria).

Spin magnetization, μB/f.u.: 0.3
Offset from the most stable computed form, kJ/mol of formula units: 15
Energy of formation from the pure elements, eV per atom: -0.3865

CIF file:
```
data_NaPr2Hg3
_space_group_name_H-M_alt 'P 4/m m m'
_space_group_IT_number 123
_space_group_name_Hall '-P 4 2'
_cell_length_a 3.822
_cell_length_b 3.822
_cell_length_c 11.578
_cell_angle_alpha 90.00
_cell_angle_beta 90.00
_cell_angle_gamma 90.00
loop_
_atom_site_label
_atom_site_type_symbol
_atom_site_fract_x
_atom_site_fract_y
_atom_site_fract_z
_atom_site_occupancy
Na1 Na 0.000 0.000 0.000 1
Pr1 Pr 0.000 0.000 0.331 1
Hg1 Hg 0.500 0.500 0.168 1
Hg2 Hg 0.500 0.500 0.500 1
```

=====

Question: What is the spin magnetization in the second record?
Answer: 0.3 μB/f.u.

=====

Repeat the first record exactly.
# Ta2SiN

A geometry-optimized Ta2SiN structure (GGA-PBE, Alexandria).

Spin magnetization, μB/f.u.: 0.0
Offset from the most stable computed form, kJ/mol of formula units: 0
Formation energy from raw total energies, meV per atom: -445

CIF file:
```
data_Ta2SiN
_space_group_name_H-M_alt 'R -3 m'
_space_group_IT_number 166
_space_group_name_Hall '-R 3 2"'
_cell_length_a 3.1980
_cell_length_b 3.1980
_cell_length_c 18.9374
_cell_angle_alpha 90.00
_cell_angle_beta 90.00
_cell_angle_gamma 120.00
loop_
_atom_site_label
_atom_site_type_symbol
_atom_site_fract_x
_atom_site_fract_y
_atom_site_fract_z
_atom_site_occupancy
Ta1 Ta 0.0000 0.0000 0.2268 1
Si1 Si 0.0000 0.0000 0.0000 1
N1 N 0.0000 0.0000 0.5000 1
```